# Li2MnHgO

An optimized crystal structure of Li2MnHgO (PBE with a Hubbard U, Alexandria via LeMat-Bulk).

Output
Calculated density   6.5 g/cm3
Electronic total energy   -20.88 eV for the cell shown

a = 4.1970 Å, b = 4.1970 Å, c = 4.1571 Å
α = 90.00°, β = 90.00°, γ = 90.00°
Space group P4/mmm (No. 123)
Unique sites:
Li  0.0000  0.5000  0.0000
Mn  0.0000  0.0000  0.5000
Hg  0.5000  0.5000  0.5000
O  0.0000  0.0000  0.0000